Material: MnCo2Ru
Method: DFT, PBE-GGA
State: relaxed

The structure belongs to space group C2/m (No. 12); the cell edges are 8.437, 2.598 and 4.399 Å and the angles 90.00°, 100.49° and 90.00°. The asymmetric unit holds Mn at (0.000, 0.000, 0.000), Co at (0.250, 0.000, 0.748) and Ru at (0.000, 0.500, 0.500).

Material: SrCa2AcPt
Method: DFT, PBE-GGA
State: relaxed

The structure belongs to space group P4/mmm (No. 123); the cell edges are 5.825, 5.825 and 5.867 Å and the angles 90.00°, 90.00° and 90.00°. The asymmetric unit holds Sr at (0.000, 0.000, 0.000), Ca at (0.000, 0.500, 0.500), Ac at (0.500, 0.500, 0.000) and Pt at (0.500, 0.500, 0.500).

Material: GdCuPd
Method: DFT, PBE-GGA
State: relaxed

The structure belongs to space group P-6m2 (No. 187); the cell edges are 4.3810, 4.3810 and 3.5973 Å and the angles 90.00°, 90.00° and 120.00°. The asymmetric unit holds Gd at (0.0000, 0.0000, 0.0000), Cu at (0.3333, 0.6667, 0.5000) and Pd at (0.6667, 0.3333, 0.5000).

Material: DyHoInNi
Method: DFT, PBE-GGA
State: relaxed

The structure belongs to space group F-43m (No. 216); the cell edges are 7.185, 7.185 and 7.185 Å and the angles 90.00°, 90.00° and 90.00°. The asymmetric unit holds Dy at (0.000, 0.000, 0.000), Ho at (0.000, 0.000, 0.500), In at (0.250, 0.250, 0.250) and Ni at (0.250, 0.250, 0.750).

Material: PmSn2Pd
Method: DFT, PBE-GGA
State: relaxed

The structure belongs to space group Pnma (No. 62); the cell edges are 7.426, 4.642 and 11.353 Å and the angles 90.00°, 90.00° and 90.00°. The asymmetric unit holds Pm at (0.206, 0.250, 0.145), Sn at (0.108, 0.250, 0.857), Sn at (0.168, 0.250, 0.439) and Pd at (0.016, 0.750, 0.358).

Material: LiTlS2
Method: DFT, PBE-GGA
State: relaxed

The uncorrected formation energy comes out at -0.5349 eV per atom.

The structure belongs to space group C2/c (No. 15); the cell edges are 9.914, 12.299 and 13.062 Å and the angles 90.00°, 95.27° and 90.00°. The asymmetric unit holds Li at (0.016, 0.141, 0.373), Li at (0.184, 0.438, 0.352), Tl at (0.122, 0.342, 0.634), Tl at (0.170, 0.130, 0.874), S at (0.000, 0.017, 0.750), S at (0.000, 0.472, 0.750), S at (0.062, 0.262, 0.992), S at (0.195, 0.268, 0.258) and S at (0.220, 0.049, 0.474).

Material: CaSb2Cl
Method: DFT, PBE-GGA
State: relaxed

The uncorrected formation energy comes out at -0.8511 eV per atom.

The structure belongs to space group Pmmm (No. 47); the cell edges are 4.181, 4.204 and 6.395 Å and the angles 90.00°, 90.00° and 90.00°. The asymmetric unit holds Ca at (0.000, 0.000, 0.000), Sb at (0.000, 0.500, 0.500), Sb at (0.500, 0.000, 0.500) and Cl at (0.500, 0.500, 0.000).

Material: Sc5Zn4Ag
Method: DFT, PBE-GGA
State: relaxed

The structure belongs to space group P4/mmm (No. 123); the cell edges are 3.372, 3.372 and 16.784 Å and the angles 90.00°, 90.00° and 90.00°. The asymmetric unit holds Sc at (0.000, 0.000, 0.000), Sc at (0.000, 0.000, 0.198), Sc at (0.000, 0.000, 0.395), Zn at (0.500, 0.500, 0.100), Zn at (0.500, 0.500, 0.295) and Ag at (0.500, 0.500, 0.500).

Material: AsPt2Au
Method: DFT, PBE-GGA
State: relaxed

The structure belongs to space group Cmmm (No. 65); the cell edges are 5.805, 7.589 and 3.056 Å and the angles 90.00°, 90.00° and 90.00°. The asymmetric unit holds As at (0.000, 0.000, 0.000), Pt at (0.250, 0.250, 0.500) and Au at (0.000, 0.500, 0.000).

Material: BaBeI2
Method: DFT, PBE-GGA
State: relaxed

The uncorrected formation energy comes out at -0.4687 eV per atom.

The structure belongs to space group Fm-3m (No. 225); the cell edges are 8.413, 8.413 and 8.413 Å and the angles 90.00°, 90.00° and 90.00°. The asymmetric unit holds Ba at (0.000, 0.000, 0.000), Be at (0.000, 0.000, 0.500) and I at (0.250, 0.250, 0.250).

Material: ErTi2Ir2
Method: DFT, PBE-GGA
State: relaxed

The structure belongs to space group I4/mmm (No. 139); the cell edges are 4.227, 4.227 and 10.767 Å and the angles 90.00°, 90.00° and 90.00°. The asymmetric unit holds Er at (0.000, 0.000, 0.000), Ti at (0.000, 0.500, 0.250) and Ir at (0.000, 0.000, 0.381).

Material: Re2AuSe
Method: DFT, PBE-GGA
State: relaxed

The uncorrected formation energy comes out at 0.9135 eV per atom.

The structure belongs to space group Cmmm (No. 65); the cell edges are 2.902, 4.731 and 9.588 Å and the angles 90.00°, 90.00° and 90.00°. The asymmetric unit holds Re at (0.000, 0.000, 0.242), Au at (0.000, 0.500, 0.500) and Se at (0.000, 0.500, 0.000).

Values for theoretical density, g/cm3, ordered as above
9.594; 4.921; 9.087; 8.970; 8.297; 4.615; 4.713; 5.172; 16.332; 4.463; 11.176; 16.358
Values for VASP energy, eV per formula unit, ordered as above
-32.10; -18.28; -25.04; -18.98; -20.77; -14.67; -15.50; -43.14; -19.74; -10.62; -42.15; -28.00